Record 1
This record from the Alexandria database describes an optimized crystal structure of Sm4Ge6O19. The functional is GGA-PBE.

## Properties
uncorrected formation energy: -2.179 eV per atom
DOS at the Fermi energy: 20.798 states/eV/f.u.

Lattice parameters (Å, degrees): 7.5748 7.5748 7.5748 109.47 109.47 109.47
Closest atoms and distances in Å follow each position.
Atoms (fractional coordinates):
Sm 0.0000 0.0000 0.6792  10 O 2.43-2.64
Sm 0.0000 0.6792 0.0000  10 O 2.43-2.64
Sm 0.3208 0.3208 0.3208  10 O 2.43-2.64
Sm 0.6792 0.0000 0.0000  10 O 2.43-2.64
Ge 0.1638 0.6637 0.5000  6 O 1.89-1.94
Ge 0.3362 0.5000 0.8362  6 O 1.89-1.94
Ge 0.5000 0.1638 0.6637  6 O 1.89-1.94
Ge 0.5000 0.8362 0.3362  6 O 1.89-1.94
Ge 0.6637 0.5000 0.1638  6 O 1.89-1.94
Ge 0.8362 0.3362 0.5000  6 O 1.89-1.94
O 0.0000 0.0000 0.0000  4 Sm 2.43
O 0.0000 0.3497 0.3497  2 Ge 1.94
O 0.0000 0.6503 0.6503  2 Ge 1.94
O 0.0396 0.3702 0.7534  2 Ge 1.89
O 0.2466 0.6168 0.2862  2 Ge 1.89
O 0.2862 0.2466 0.6168  2 Ge 1.89
O 0.3306 0.9604 0.7138  2 Ge 1.89
O 0.3497 0.0000 0.3497  2 Ge 1.94
O 0.3497 0.3497 0.0000  2 Ge 1.94
O 0.3702 0.7534 0.0396  2 Ge 1.89
O 0.3832 0.6298 0.6694  2 Ge 1.89
O 0.6168 0.2862 0.2466  2 Ge 1.89
O 0.6298 0.6694 0.3832  2 Ge 1.89
O 0.6503 0.0000 0.6503  2 Ge 1.94
O 0.6503 0.6503 0.0000  2 Ge 1.94
O 0.6694 0.3832 0.6298  2 Ge 1.89
O 0.7138 0.3306 0.9604  2 Ge 1.89
O 0.7534 0.0396 0.3702  2 Ge 1.89
O 0.9604 0.7138 0.3306  2 Ge 1.89

***

Record 2
This record from the Alexandria database describes an optimized crystal structure of Sm6Ge3O. The functional is GGA-PBE.

## Properties
uncorrected formation energy: -1.050 eV per atom
DOS at the Fermi energy: 8.495 states/eV/f.u.

Lattice parameters (Å, degrees): 6.4475 7.8315 11.8648 90.00 122.06 90.00
Closest atoms and distances in Å follow each position.
Atoms (fractional coordinates):
Sm 0.0948 0.0463 0.2351  1 O 2.54, 1 Ge 2.85
Sm 0.0948 0.4537 0.7351  1 O 2.54, 1 Ge 2.85
Sm 0.1983 0.7052 0.0606  1 O 2.55
Sm 0.1983 0.7948 0.5606  1 O 2.55
Sm 0.3872 0.1630 0.0581  1 O 2.55
Sm 0.3872 0.3370 0.5581  1 O 2.55
Sm 0.6128 0.6630 0.4419  1 O 2.55
Sm 0.6128 0.8370 0.9419  1 O 2.55
Sm 0.8017 0.2052 0.4394  1 O 2.55
Sm 0.8017 0.2948 0.9394  1 O 2.55
Sm 0.9052 0.5463 0.2649  1 O 2.54, 1 Ge 2.85
Sm 0.9052 0.9537 0.7649  1 O 2.54, 1 Ge 2.85
Ge 0.3175 0.1110 0.7477  6 Sm 2.98-3.14
Ge 0.3175 0.3890 0.2477  6 Sm 2.98-3.14
Ge 0.5000 0.0000 0.5000  6 Sm 2.85-2.92
Ge 0.5000 0.5000 0.0000  6 Sm 2.85-2.92
Ge 0.6825 0.6110 0.7523  6 Sm 2.98-3.14
Ge 0.6825 0.8890 0.2523  6 Sm 2.98-3.14
O 0.0000 0.0000 0.0000  6 Sm 2.54-2.55
O 0.0000 0.5000 0.5000  6 Sm 2.54-2.55

***

Record 3
This record from the Alexandria database describes an optimized crystal structure of SmGe2O6. The functional is GGA-PBE.

## Properties
uncorrected formation energy: -1.946 eV per atom

Lattice parameters (Å, degrees): 7.4441 7.4441 5.7696 101.53 101.53 83.29
Closest atoms and distances in Å follow each position.
Atoms (fractional coordinates):
Sm 0.1202 0.8798 0.7500  6 O 2.32-2.36
Sm 0.8798 0.1202 0.2500  6 O 2.32-2.36
Ge 0.2110 0.3481 0.7027  4 O 1.76-1.79
Ge 0.3481 0.2110 0.2027  4 O 1.76-1.79
Ge 0.6519 0.7890 0.7973  4 O 1.76-1.79
Ge 0.7890 0.6519 0.2973  4 O 1.76-1.79
O 0.0731 0.1613 0.6214  1 Ge 1.76
O 0.0803 0.5629 0.6901  1 Ge 1.78
O 0.1613 0.0731 0.1214  1 Ge 1.76
O 0.3285 0.3732 0.0062  2 Ge 1.78-1.79
O 0.3732 0.3285 0.5062  2 Ge 1.78-1.79
O 0.4371 0.9197 0.8099  1 Ge 1.78
O 0.5629 0.0803 0.1900  1 Ge 1.78
O 0.6268 0.6715 0.4938  2 Ge 1.78-1.79
O 0.6715 0.6268 0.9938  2 Ge 1.78-1.79
O 0.8387 0.9269 0.8786  1 Ge 1.76
O 0.9197 0.4371 0.3100  1 Ge 1.78
O 0.9269 0.8387 0.3786  1 Ge 1.76

***

Record 4
This record from the Alexandria database describes an optimized crystal structure of Sm3GeO6. The functional is GGA-PBE.

## Properties
uncorrected formation energy: -2.901 eV per atom
DOS at the Fermi energy: 1.659 states/eV/f.u.

Lattice parameters (Å, degrees): 7.3095 7.3095 5.6319 90.00 90.00 102.51
Closest atoms and distances in Å follow each position.
Atoms (fractional coordinates):
Sm 0.1015 0.8985 0.5000  5 O 2.34-2.36
Sm 0.2008 0.4124 0.5510  6 O 2.29-2.50
Sm 0.4124 0.2008 0.0510  6 O 2.29-2.50
Sm 0.5876 0.7992 0.5510  6 O 2.29-2.50
Sm 0.7992 0.5876 0.0510  6 O 2.29-2.50
Sm 0.8985 0.1015 0.0000  5 O 2.34-2.36
Ge 0.3261 0.6739 0.0683  4 O 1.88-2.08
Ge 0.6739 0.3261 0.5683  4 O 1.88-2.08
O 0.0973 0.6041 0.2298  1 Ge 1.88
O 0.1469 0.1734 0.2752  4 Sm 2.29-2.36
O 0.1734 0.1469 0.7752  4 Sm 2.29-2.36
O 0.2730 0.7270 0.7334  1 Ge 1.98
O 0.3959 0.9027 0.2298  1 Ge 1.88
O 0.4734 0.5266 0.2873  1 Ge 2.08
O 0.5266 0.4734 0.7873  1 Ge 2.08
O 0.6041 0.0973 0.7298  1 Ge 1.88
O 0.7270 0.2730 0.2334  1 Ge 1.98
O 0.8266 0.8531 0.2752  4 Sm 2.29-2.36
O 0.8531 0.8266 0.7752  4 Sm 2.29-2.36
O 0.9027 0.3959 0.7298  1 Ge 1.88

***

Record 5
This record from the Alexandria database describes an optimized crystal structure of Sm3GeO. The functional is GGA-PBE.

## Properties
uncorrected formation energy: -1.386 eV per atom
DOS at the Fermi energy: 3.403 states/eV/f.u.

Lattice parameters (Å, degrees): 4.8119 4.8119 4.8119 90.00 90.00 90.00
Closest atoms and distances in Å follow each position.
Atoms (fractional coordinates):
Sm 0.0000 0.0000 0.5000  2 O 2.41
Sm 0.0000 0.5000 0.0000  2 O 2.41
Sm 0.5000 0.0000 0.0000  2 O 2.41
Ge 0.5000 0.5000 0.5000  12 Sm 3.40
O 0.0000 0.0000 0.0000  6 Sm 2.41

***

Record 6
This record from the Alexandria database describes an optimized crystal structure of SmSnGe2O8. The functional is GGA-PBE.

## Properties
uncorrected formation energy: -1.783 eV per atom
DOS at the Fermi energy: 10.033 states/eV/f.u.

Lattice parameters (Å, degrees): 5.9261 5.9261 5.9261 107.01 107.01 114.52
Closest atoms and distances in Å follow each position.
Atoms (fractional coordinates):
Sm 0.0000 0.0000 0.0000  8 O 2.31-2.45
Sn 0.7500 0.2500 0.5000  8 O 2.22-2.31
Ge 0.2500 0.7500 0.5000  4 O 1.76
Ge 0.5000 0.5000 0.0000  4 O 1.78
O 0.0538 0.3783 0.3245  1 Ge 1.76
O 0.0538 0.7293 0.6755  1 Ge 1.76
O 0.1265 0.3182 0.8083  1 Ge 1.78
O 0.2707 0.9462 0.3245  1 Ge 1.76
O 0.5099 0.3182 0.1917  1 Ge 1.78
O 0.6217 0.9462 0.6755  1 Ge 1.76
O 0.6818 0.4901 0.8083  1 Ge 1.78
O 0.6818 0.8735 0.1917  1 Ge 1.78